Here is Na3CrC2O6 after structural relaxation from Alexandria via LeMat-Bulk. Energies are from PBE+U.

Output
For the density of states at the Fermi level, the calculation gives 0.11 states/eV per atom. The spin magnetization is 5.0 μB/f.u. The value obtained for the total energy is -6.4408 eV/atom.

```
data_Na3CrC2O6
_chemical_formula_sum 'Na3 Cr1 C2 O6'
_symmetry_space_group_name_H-M 'P -3 m 1'
_symmetry_Int_Tables_number 164
_symmetry_space_group_name_Hall '-P 3 2"'
_cell_length_a 5.2191
_cell_length_b 5.2191
_cell_length_c 6.5711
_cell_angle_alpha 90.00
_cell_angle_beta 90.00
_cell_angle_gamma 120.00
loop_
_atom_site_label
_atom_site_type_symbol
_atom_site_fract_x
_atom_site_fract_y
_atom_site_fract_z
Na1 Na 0.0000 0.0000 0.0000
Na2 Na 0.3333 0.6667 0.7479
Cr1 Cr 0.0000 0.0000 0.5000
C1 C 0.3333 0.6667 0.2449
O1 O 0.1892 0.3784 0.2454
```